Record 1
## AcZnPdAu (PBE)

Data for an optimized crystal structure of AcZnPdAu.

Calculated values
The value obtained for the formation energy from the elements is -696 meV per atom. The energy above the most stable polymorph in this dataset is 0.000 eV per atom. The calculation puts the total moment at 0.0 μB per cell. The value obtained for the density of states at the Fermi level is 0.58 states/eV per atom.

```
data_AcZnPdAu
_chemical_formula_sum 'Ac2 Zn2 Pd2 Au2'
_space_group_name_H-M_alt 'C 1 m 1'
_space_group_IT_number 8
_space_group_name_Hall 'C -2y'
_cell_length_a 7.873
_cell_length_b 4.556
_cell_length_c 5.806
_cell_angle_alpha 90.00
_cell_angle_beta 116.99
_cell_angle_gamma 90.00
loop_
_atom_site_label
_atom_site_fract_x
_atom_site_fract_y
_atom_site_fract_z
_atom_site_occupancy
Ac1 0.000 0.000 0.000 1
Zn1 0.010 0.500 0.530 1
Pd1 0.210 0.000 0.631 1
Au1 0.291 0.500 0.372 1
```


Record 2
## Ac3Zn2Pd6Au (PBE)

Data for an optimized crystal structure of Ac3Zn2Pd6Au.

Calculated values
The value obtained for the formation energy from the elements is -624 meV per atom. The calculation puts the total moment at 0.0 μB per cell. The value obtained for the density of states at the Fermi level is 0.51 states/eV per atom.

```
data_Ac3Zn2Pd6Au
_chemical_formula_sum 'Ac3 Zn2 Pd6 Au1'
_space_group_name_H-M_alt 'P -3 m 1'
_space_group_IT_number 164
_space_group_name_Hall '-P 3 2"'
_cell_length_a 5.8230
_cell_length_b 5.8230
_cell_length_c 9.2361
_cell_angle_alpha 90.00
_cell_angle_beta 90.00
_cell_angle_gamma 120.00
loop_
_atom_site_label
_atom_site_fract_x
_atom_site_fract_y
_atom_site_fract_z
_atom_site_occupancy
Ac1 0.0000 0.0000 0.0000 1
Ac2 0.3333 0.6667 0.6195 1
Zn1 0.3333 0.6667 0.0395 1
Pd1 0.1727 0.3454 0.2672 1
Au1 0.0000 0.0000 0.5000 1
```


Record 3
## AcZnPdAu (PBE)

Data for an optimized crystal structure of AcZnPdAu.

Calculated values
The value obtained for the formation energy from the elements is -513 meV per atom. The energy above the most stable polymorph in this dataset is 0.183 eV per atom. The calculation puts the total moment at 0.0 μB per cell. The value obtained for the density of states at the Fermi level is 0.51 states/eV per atom.

```
data_AcZnPdAu
_chemical_formula_sum 'Ac4 Zn4 Pd4 Au4'
_space_group_name_H-M_alt 'F -4 3 m'
_space_group_IT_number 216
_space_group_name_Hall 'F -4 2 3'
_cell_length_a 7.188
_cell_length_b 7.188
_cell_length_c 7.188
_cell_angle_alpha 90.00
_cell_angle_beta 90.00
_cell_angle_gamma 90.00
loop_
_atom_site_label
_atom_site_fract_x
_atom_site_fract_y
_atom_site_fract_z
_atom_site_occupancy
Ac1 0.000 0.000 0.000 1
Zn1 0.000 0.000 0.500 1
Pd1 0.250 0.250 0.750 1
Au1 0.250 0.250 0.250 1
```


Record 4
## AcZn2PdAu5 (PBE)

Data for an optimized crystal structure of AcZn2PdAu5.

Calculated values
The value obtained for the formation energy from the elements is -255 meV per atom. The calculation puts the total moment at 0.0 μB per cell. The value obtained for the density of states at the Fermi level is 0.45 states/eV per atom.

```
data_AcZn2PdAu5
_chemical_formula_sum 'Ac1 Zn2 Pd1 Au5'
_space_group_name_H-M_alt 'P 4/m m m'
_space_group_IT_number 123
_space_group_name_Hall '-P 4 2'
_cell_length_a 5.023
_cell_length_b 5.023
_cell_length_c 7.444
_cell_angle_alpha 90.00
_cell_angle_beta 90.00
_cell_angle_gamma 90.00
loop_
_atom_site_label
_atom_site_fract_x
_atom_site_fract_y
_atom_site_fract_z
_atom_site_occupancy
Ac1 0.000 0.000 0.000 1
Zn1 0.500 0.500 0.337 1
Pd1 0.000 0.000 0.500 1
Au1 0.000 0.500 0.299 1
Au2 0.500 0.500 0.000 1
```


Record 5
## Ac2ZnPdAu (PBE)

Data for an optimized crystal structure of Ac2ZnPdAu.

Calculated values
The value obtained for the formation energy from the elements is -673 meV per atom. The calculation puts the total moment at 0.0 μB per cell. The value obtained for the density of states at the Fermi level is 0.68 states/eV per atom.

```
data_Ac2ZnPdAu
_chemical_formula_sum 'Ac4 Zn2 Pd2 Au2'
_space_group_name_H-M_alt 'P 1 21/m 1'
_space_group_IT_number 11
_space_group_name_Hall '-P 2yb'
_cell_length_a 7.939
_cell_length_b 4.451
_cell_length_c 8.411
_cell_angle_alpha 90.00
_cell_angle_beta 112.13
_cell_angle_gamma 90.00
loop_
_atom_site_label
_atom_site_fract_x
_atom_site_fract_y
_atom_site_fract_z
_atom_site_occupancy
Ac1 0.057 0.250 0.216 1
Ac2 0.377 0.750 0.657 1
Zn1 0.314 0.250 0.935 1
Pd1 0.087 0.250 0.610 1
Au1 0.323 0.750 0.132 1
```


Record 6
## Ac3Zn2PdAu6 (PBE)

Data for an optimized crystal structure of Ac3Zn2PdAu6.

Calculated values
The value obtained for the formation energy from the elements is -469 meV per atom. The calculation puts the total moment at 0.0 μB per cell. The value obtained for the density of states at the Fermi level is 0.68 states/eV per atom.

```
data_Ac3Zn2PdAu6
_chemical_formula_sum 'Ac3 Zn2 Pd1 Au6'
_space_group_name_H-M_alt 'P -3 m 1'
_space_group_IT_number 164
_space_group_name_Hall '-P 3 2"'
_cell_length_a 6.3649
_cell_length_b 6.3649
_cell_length_c 8.6606
_cell_angle_alpha 90.00
_cell_angle_beta 90.00
_cell_angle_gamma 120.00
loop_
_atom_site_label
_atom_site_fract_x
_atom_site_fract_y
_atom_site_fract_z
_atom_site_occupancy
Ac1 0.0000 0.0000 0.0000 1
Ac2 0.3333 0.6667 0.6291 1
Zn1 0.3333 0.6667 0.0296 1
Pd1 0.0000 0.0000 0.5000 1
Au1 0.1817 0.3635 0.2819 1
```


Record 7
## AcZn2Pd5Au (PBE)

Data for an optimized crystal structure of AcZn2Pd5Au.

Calculated values
The value obtained for the formation energy from the elements is -364 meV per atom. The calculation puts the total moment at 0.0 μB per cell. The value obtained for the density of states at the Fermi level is 0.29 states/eV per atom.

```
data_AcZn2Pd5Au
_chemical_formula_sum 'Ac1 Zn2 Pd5 Au1'
_space_group_name_H-M_alt 'P 4/m m m'
_space_group_IT_number 123
_space_group_name_Hall '-P 4 2'
_cell_length_a 4.781
_cell_length_b 4.781
_cell_length_c 7.394
_cell_angle_alpha 90.00
_cell_angle_beta 90.00
_cell_angle_gamma 90.00
loop_
_atom_site_label
_atom_site_fract_x
_atom_site_fract_y
_atom_site_fract_z
_atom_site_occupancy
Ac1 0.000 0.000 0.000 1
Zn1 0.500 0.500 0.340 1
Pd1 0.000 0.500 0.274 1
Pd2 0.500 0.500 0.000 1
Au1 0.000 0.000 0.500 1
```


Record 8
## AcZn2PdAu2 (PBE)

Data for an optimized crystal structure of AcZn2PdAu2.

Calculated values
The value obtained for the formation energy from the elements is -421 meV per atom. The calculation puts the total moment at 0.0 μB per cell. The value obtained for the density of states at the Fermi level is 0.39 states/eV per atom.

```
data_AcZn2PdAu2
_chemical_formula_sum 'Ac1 Zn2 Pd1 Au2'
_space_group_name_H-M_alt 'P 4/m m m'
_space_group_IT_number 123
_space_group_name_Hall '-P 4 2'
_cell_length_a 4.859
_cell_length_b 4.859
_cell_length_c 5.674
_cell_angle_alpha 90.00
_cell_angle_beta 90.00
_cell_angle_gamma 90.00
loop_
_atom_site_label
_atom_site_fract_x
_atom_site_fract_y
_atom_site_fract_z
_atom_site_occupancy
Ac1 0.000 0.000 0.000 1
Zn1 0.000 0.500 0.500 1
Pd1 0.000 0.000 0.500 1
Au1 0.500 0.500 0.242 1
```